## 1
## LaAuIN2 (GGA-PBE)

Data for a geometry-optimized LaAuIN2 structure.

Cell: 4.2575 4.2575 7.2345 Å, 90.00 90.00 90.00°
Space group P4/mmm (No. 123)
Unique sites:
La 0.0000 0.0000 0.0000 [1 per cell]
Au 0.5000 0.5000 0.5000 [1 per cell]
I 0.0000 0.0000 0.5000 [1 per cell]
N 0.0000 0.5000 0.0000 [2 per cell]

Results
**M_tot**: 0.274 μB/cell
**ρ**: 6.215 g/cm3
**V**: 26.2 Å³/atom

=====

## 2
## LaAuIN2 (GGA-PBE)

Data for a geometry-optimized LaAuIN2 structure.

Cell: 4.4576 4.4576 5.2269 Å, 90.00 90.00 90.00°
Space group P4/mmm (No. 123)
Unique sites:
La 0.0000 0.0000 0.0000 [1 per cell]
Au 0.5000 0.5000 0.5000 [1 per cell]
I 0.5000 0.5000 0.0000 [1 per cell]
N 0.0000 0.5000 0.5000 [2 per cell]

Results
**M_tot**: 1.026 μB/cell
**ρ**: 7.847 g/cm3
**V**: 20.8 Å³/atom

=====

Stability verdict: 1, ahead by 0.239 eV/atom